Record 1
The following is a PBE-GGA calculation of Pr3Zn2Ir3 after structural relaxation, from Alexandria.

a b c (Å): 4.269 11.347 14.496
angles (deg): 90.00 90.00 90.00
Space group Cmcm (No. 63)
Symmetry-distinct sites (fractional):
Pr: 0.000 0.083 0.112 [8 per cell]
Pr: 0.000 0.358 0.250 [4 per cell]
Zn: 0.000 0.216 0.585 [8 per cell]
Ir: 0.000 0.334 0.750 [4 per cell]
Ir: 0.000 0.398 0.039 [8 per cell]

- total DFT energy (no corrections) (eV/atom) = -5.97
- formation enthalpy at 0 K (eV/atom) = -0.5368

=====

Record 2
The following is a PBE-GGA calculation of ZrMnTe4 after structural relaxation, from Alexandria.

a b c (Å): 8.788 8.788 8.788
angles (deg): 90.00 90.00 90.00
Space group F-43m (No. 216)
Symmetry-distinct sites (fractional):
Zr: 0.000 0.000 0.000 [4 per cell]
Mn: 0.250 0.250 0.750 [4 per cell]
Te: 0.125 0.125 0.375 [16 per cell]

- total DFT energy (no corrections) (eV/atom) = -4.30
- formation energy (no corrections) (meV/atom) = 752

=====

Record 3
The following is a PBE-GGA calculation of LiSm4Au7 after structural relaxation, from Alexandria.

a b c (Å): 14.607 4.917 9.252
angles (deg): 90.00 121.54 90.00
Space group C2/m (No. 12)
Symmetry-distinct sites (fractional):
Li: 0.000 0.000 0.000 [2 per cell]
Sm: 0.063 0.500 0.750 [4 per cell]
Sm: 0.229 0.500 0.258 [4 per cell]
Au: 0.000 0.500 0.000 [2 per cell]
Au: 0.095 0.000 0.342 [4 per cell]
Au: 0.167 0.500 0.543 [4 per cell]
Au: 0.187 0.000 0.989 [4 per cell]

- total DFT energy (no corrections) (eV/atom) = -4.33
- formation enthalpy at 0 K (eV/atom) = -0.6848

=====

Record 4
The following is a PBE-GGA calculation of CoPtW2N after structural relaxation, from Alexandria.

a b c (Å): 4.073 4.073 3.917
angles (deg): 90.00 90.00 90.00
Space group P4/mmm (No. 123)
Symmetry-distinct sites (fractional):
Co: 0.000 0.000 0.000 [1 per cell]
Pt: 0.500 0.500 0.000 [1 per cell]
W: 0.000 0.500 0.500 [2 per cell]
N: 0.000 0.000 0.500 [1 per cell]

- total DFT energy (no corrections) (eV/atom) = -9.57
- formation energy (no corrections) (meV/atom) = -98

=====

Record 5
The following is a PBE-GGA calculation of TiPd4Pt after structural relaxation, from Alexandria.

a b c (Å): 5.223 7.552 5.454
angles (deg): 90.00 117.90 90.00
Space group C2/m (No. 12)
Symmetry-distinct sites (fractional):
Ti: 0.000 0.000 0.000 [2 per cell]
Pd: 0.013 0.317 0.755 [8 per cell]
Pt: 0.000 0.000 0.500 [2 per cell]

- total DFT energy (no corrections) (eV/atom) = -6.14
- formation enthalpy at 0 K (eV/atom) = -0.3569
- E above lowest polymorph (meV per atom) = 106

=====

Record 6
The following is a PBE-GGA calculation of Cu4Pd4Pt3 after structural relaxation, from Alexandria.

a b c (Å): 4.419 5.163 14.705
angles (deg): 90.00 90.00 90.00
Space group Immm (No. 71)
Symmetry-distinct sites (fractional):
Cu: 0.000 0.243 0.175 [8 per cell]
Pd: 0.000 0.000 0.322 [4 per cell]
Pd: 0.000 0.243 0.000 [4 per cell]
Pt: 0.000 0.000 0.500 [2 per cell]
Pt: 0.000 0.500 0.401 [4 per cell]

- total DFT energy (no corrections) (eV/atom) = -4.86
- formation enthalpy at 0 K (eV/atom) = 0.1617

=====

Record 7
The following is a PBE-GGA calculation of Sr2TeAu2 after structural relaxation, from Alexandria.

a b c (Å): 8.713 8.713 4.201
angles (deg): 90.00 90.00 90.00
Space group P4/mbm (No. 127)
Symmetry-distinct sites (fractional):
Sr: 0.173 0.327 0.000 [4 per cell]
Te: 0.000 0.000 0.000 [2 per cell]
Au: 0.118 0.618 0.500 [4 per cell]

- total DFT energy (no corrections) (eV/atom) = -3.44
- E above lowest polymorph (meV per atom) = 84
- formation energy (no corrections) (meV/atom) = -830

=====

Record 8
The following is a PBE-GGA calculation of AcLa3Y12 after structural relaxation, from Alexandria.

a b c (Å): 5.142 5.142 20.545
angles (deg): 90.00 90.00 90.00
Space group P4/mmm (No. 123)
Symmetry-distinct sites (fractional):
Ac: 0.000 0.000 0.000 [1 per cell]
La: 0.000 0.000 0.252 [2 per cell]
La: 0.000 0.000 0.500 [1 per cell]
Y: 0.000 0.500 0.128 [4 per cell]
Y: 0.000 0.500 0.376 [4 per cell]
Y: 0.500 0.500 0.000 [1 per cell]
Y: 0.500 0.500 0.252 [2 per cell]
Y: 0.500 0.500 0.500 [1 per cell]

- total DFT energy (no corrections) (eV/atom) = -5.99
- formation enthalpy at 0 K (eV/atom) = 0.0389

=====

Record 9
The following is a PBE-GGA calculation of Pr12HgPb3 after structural relaxation, from Alexandria.

a b c (Å): 5.035 5.035 20.020
angles (deg): 90.00 90.00 90.00
Space group P4/mmm (No. 123)
Symmetry-distinct sites (fractional):
Pr: 0.000 0.000 0.000 [1 per cell]
Pr: 0.000 0.000 0.249 [2 per cell]
Pr: 0.000 0.000 0.500 [1 per cell]
Pr: 0.000 0.500 0.124 [4 per cell]
Pr: 0.000 0.500 0.375 [4 per cell]
Hg: 0.500 0.500 0.000 [1 per cell]
Pb: 0.500 0.500 0.248 [2 per cell]
Pb: 0.500 0.500 0.500 [1 per cell]

- total DFT energy (no corrections) (eV/atom) = -4.60
- formation enthalpy at 0 K (eV/atom) = -0.3030

=====

Record 10
The following is a PBE-GGA calculation of Fe2NiIr2 after structural relaxation, from Alexandria.

a b c (Å): 2.707 3.784 6.701
angles (deg): 89.87 89.93 89.99
Space group P-1 (No. 2)
Symmetry-distinct sites (fractional):
Fe: 0.000 0.000 0.000 [1 per cell]
Fe: 0.500 0.500 0.000 [1 per cell]
Ni: 0.000 0.500 0.500 [1 per cell]
Ir: 0.499 0.001 0.308 [2 per cell]

- total DFT energy (no corrections) (eV/atom) = -7.73
- formation enthalpy at 0 K (eV/atom) = 0.3516
- E above lowest polymorph (meV per atom) = 102

=====

Record 11
The following is a PBE-GGA calculation of GaSiIrOs after structural relaxation, from Alexandria.

a b c (Å): 6.018 6.018 6.018
angles (deg): 90.00 90.00 90.00
Space group F-43m (No. 216)
Symmetry-distinct sites (fractional):
Ga: 0.000 0.000 0.000 [4 per cell]
Si: 0.000 0.000 0.500 [4 per cell]
Ir: 0.250 0.250 0.750 [4 per cell]
Os: 0.250 0.250 0.250 [4 per cell]

- total DFT energy (no corrections) (eV/atom) = -7.42
- formation energy (no corrections) (meV/atom) = -289

=====

Record 12
The following is a PBE-GGA calculation of PaAlTcW after structural relaxation, from Alexandria.

a b c (Å): 6.557 6.557 6.557
angles (deg): 90.00 90.00 90.00
Space group F-43m (No. 216)
Symmetry-distinct sites (fractional):
Pa: 0.000 0.000 0.000 [4 per cell]
Al: 0.000 0.000 0.500 [4 per cell]
Tc: 0.250 0.250 0.250 [4 per cell]
W: 0.250 0.250 0.750 [4 per cell]

- total DFT energy (no corrections) (eV/atom) = -9.18
- formation enthalpy at 0 K (eV/atom) = -0.0373